First-principles (GGA-PBE) data for a geometry-optimized Nd2Ga5Pd3 structure, as listed in Alexandria via LeMat-Bulk.

Computed properties:
formation energy: -788.7 meV/atom
density of states at the Fermi level: 0.53 states/eV per atom
symmetry: Ibam, No. 72
E_tot: -4.814 eV/atom

Structure (POSCAR):
```
Nd2Ga5Pd3
1.0
-5.1706 6.4034 2.9207
5.1706 -6.4034 2.9207
5.1706 6.4034 -2.9207
Nd Ga Pd
4 10 6
Cartesian
2.3394 1.7482 0.0000 Nd
2.3394 -1.7482 2.9207 Nd
2.8311 8.1516 0.0000 Nd
2.8311 4.6551 2.9207 Nd
5.1706 -2.7009 1.4604 Ga
6.8726 1.2606 0.0000 Ga
0.0000 0.0000 1.4604 Ga
1.7021 5.1427 0.0000 Ga
5.1706 2.7009 1.4604 Ga
0.0000 3.7025 1.4604 Ga
3.4685 1.2606 2.9207 Ga
0.0000 0.0000 4.3811 Ga
-1.7021 5.1427 2.9207 Ga
0.0000 9.1043 1.4604 Ga
4.1590 -4.5714 2.9207 Pd
5.1706 0.0000 1.4604 Pd
4.1590 4.5714 0.0000 Pd
1.0116 1.8320 2.9207 Pd
0.0000 6.4034 1.4604 Pd
1.0116 10.9747 0.0000 Pd
```